# 1
DFT (GGA-PBE) results for a relaxed Ca2PmPr crystal.

Output
Energy above the most stable polymorph in this dataset in eV/atom: 0.051
Total magnetic moment in μB per formula unit: 0.00
DFT formation energy in eV/f.u.: 0.35
Theoretical density in Mg/m³: 4.06
Density of states at the Fermi level in states/eV/f.u.: 6.91

```
data_Ca2PmPr
_chemical_formula_sum 'Ca6 Pm3 Pr3'
_cell_length_a 3.7250
_cell_length_b 3.7250
_cell_length_c 37.3810
_cell_angle_alpha 90.00
_cell_angle_beta 90.00
_cell_angle_gamma 120.00
_space_group_name_H-M_alt 'R 3 m'
_space_group_IT_number 160
_space_group_name_Hall 'R 3 -2"'
loop_
_atom_site_label
_atom_site_fract_x
_atom_site_fract_y
_atom_site_fract_z
Ca1 0.0000 0.0000 0.0000
Ca2 0.0000 0.0000 0.1672
Pm1 0.0000 0.0000 0.5832
Pr1 0.0000 0.0000 0.4172
```

---

# 2
DFT (GGA-PBE) results for a relaxed Pm4Nd3Tl crystal.

Output
Energy above the most stable polymorph in this dataset in eV/atom: 0.064
Total magnetic moment in μB per formula unit: 0.00
DFT formation energy in eV/f.u.: -0.05
Theoretical density in Mg/m³: 7.65
Density of states at the Fermi level in states/eV/f.u.: 12.82

```
data_Pm4Nd3Tl
_chemical_formula_sum 'Pm4 Nd3 Tl1'
_cell_length_a 4.255
_cell_length_b 4.255
_cell_length_c 14.585
_cell_angle_alpha 90.00
_cell_angle_beta 90.00
_cell_angle_gamma 90.00
_space_group_name_H-M_alt 'P 4/m m m'
_space_group_IT_number 123
_space_group_name_Hall '-P 4 2'
loop_
_atom_site_label
_atom_site_fract_x
_atom_site_fract_y
_atom_site_fract_z
Pm1 0.000 0.000 0.111
Pm2 0.000 0.000 0.370
Nd1 0.500 0.500 0.248
Nd2 0.500 0.500 0.500
Tl1 0.500 0.500 0.000
```

---

# 3
DFT (GGA-PBE) results for a relaxed TbMg5Pd6 crystal.

Output
Total magnetic moment in μB per formula unit: 0.00
DFT formation energy in eV/f.u.: -8.94
Theoretical density in Mg/m³: 7.39
Density of states at the Fermi level in states/eV/f.u.: 3.65

```
data_TbMg5Pd6
_chemical_formula_sum 'Tb1 Mg5 Pd6'
_cell_length_a 4.583
_cell_length_b 6.574
_cell_length_c 7.123
_cell_angle_alpha 90.00
_cell_angle_beta 105.85
_cell_angle_gamma 90.00
_space_group_name_H-M_alt 'P 1 2/m 1'
_space_group_IT_number 10
loop_
_space_group_symop_operation_xyz
'x,y,z'
'-x,-y,-z'
'-x,y,-z'
'x,-y,z'
loop_
_atom_site_label
_atom_site_fract_x
_atom_site_fract_y
_atom_site_fract_z
Tb1 0.000 0.000 0.000
Mg1 0.000 0.500 0.000
Mg2 0.331 0.000 0.656
Mg3 0.336 0.500 0.670
Pd1 0.169 0.259 0.340
Pd2 0.500 0.262 0.000
```

---

# 4
DFT (GGA-PBE) results for a relaxed K3Ag5H12 crystal.

Output
Total magnetic moment in μB per formula unit: 0.00
Theoretical density in Mg/m³: 4.19
Electronic total energy in eV per cell: -430.65
Density of states at the Fermi level in states/eV/f.u.: 2.31

```
data_K3Ag5H12
_chemical_formula_sum 'K24 Ag40 H96'
_cell_length_a 12.849
_cell_length_b 12.849
_cell_length_c 12.849
_cell_angle_alpha 90.00
_cell_angle_beta 90.00
_cell_angle_gamma 90.00
_space_group_name_H-M_alt 'I a -3 d'
_space_group_IT_number 230
_space_group_name_Hall '-I 4bd 2c 3'
loop_
_atom_site_label
_atom_site_fract_x
_atom_site_fract_y
_atom_site_fract_z
K1 0.000 0.250 0.125
Ag1 0.000 0.000 0.000
Ag2 0.000 0.250 0.375
H1 0.034 0.135 0.960
```

---

# 5
DFT (GGA-PBE) results for a relaxed Rb3LaMo crystal.

Output
Energy above the most stable polymorph in this dataset in eV/atom: 0.000
Total magnetic moment in μB per formula unit: 1.69
DFT formation energy in eV/f.u.: 9.06
Theoretical density in Mg/m³: 2.26
Density of states at the Fermi level in states/eV/f.u.: 7.15

```
data_Rb3LaMo
_chemical_formula_sum 'Rb3 La1 Mo1'
_cell_length_a 7.119
_cell_length_b 7.119
_cell_length_c 7.119
_cell_angle_alpha 90.00
_cell_angle_beta 90.00
_cell_angle_gamma 90.00
_space_group_name_H-M_alt 'P m -3 m'
_space_group_IT_number 221
_space_group_name_Hall '-P 4 2 3'
loop_
_atom_site_label
_atom_site_fract_x
_atom_site_fract_y
_atom_site_fract_z
Rb1 0.000 0.000 0.500
La1 0.000 0.000 0.000
Mo1 0.500 0.500 0.500
```

---

# 6
DFT (GGA-PBE) results for a relaxed Mg23Ga6 crystal.

Output
Total magnetic moment in μB per formula unit: 0.00
DFT formation energy in eV/f.u.: -1.11
Theoretical density in Mg/m³: 2.48
Density of states at the Fermi level in states/eV/f.u.: 15.63

```
data_Mg23Ga6
_chemical_formula_sum 'Mg92 Ga24'
_cell_length_a 13.775
_cell_length_b 13.775
_cell_length_c 13.775
_cell_angle_alpha 90.00
_cell_angle_beta 90.00
_cell_angle_gamma 90.00
_space_group_name_H-M_alt 'F m -3 m'
_space_group_IT_number 225
_space_group_name_Hall '-F 4 2 3'
loop_
_atom_site_label
_atom_site_fract_x
_atom_site_fract_y
_atom_site_fract_z
Mg1 0.000 0.000 0.000
Mg2 0.000 0.173 0.173
Mg3 0.121 0.121 0.379
Mg4 0.250 0.250 0.250
Ga1 0.000 0.000 0.269
```

---

# 7
DFT (GGA-PBE) results for a relaxed RbTaIn3 crystal.

Output
Energy above the most stable polymorph in this dataset in eV/atom: 0.000
Total magnetic moment in μB per formula unit: 0.00
DFT formation energy in eV/f.u.: 1.64
Theoretical density in Mg/m³: 5.96
Density of states at the Fermi level in states/eV/f.u.: 5.80

```
data_RbTaIn3
_chemical_formula_sum 'Rb1 Ta1 In3'
_cell_length_a 5.541
_cell_length_b 5.541
_cell_length_c 5.541
_cell_angle_alpha 90.00
_cell_angle_beta 90.00
_cell_angle_gamma 90.00
_space_group_name_H-M_alt 'P m -3 m'
_space_group_IT_number 221
_space_group_name_Hall '-P 4 2 3'
loop_
_atom_site_label
_atom_site_fract_x
_atom_site_fract_y
_atom_site_fract_z
Rb1 0.000 0.000 0.000
Ta1 0.500 0.500 0.500
In1 0.000 0.500 0.500
```

---

# 8
DFT (GGA-PBE) results for a relaxed CaSc2Si crystal.

Output
Total magnetic moment in μB per formula unit: 0.00
Energy relative to the elements, uncorrected in meV/atom: -246
Theoretical density in Mg/m³: 2.72
Density of states at the Fermi level in states/eV/f.u.: 3.93

```
data_CaSc2Si
_chemical_formula_sum 'Ca2 Sc4 Si2'
_cell_length_a 3.476
_cell_length_b 5.155
_cell_length_c 10.774
_cell_angle_alpha 90.00
_cell_angle_beta 90.00
_cell_angle_gamma 90.00
_space_group_name_H-M_alt 'I m m m'
_space_group_IT_number 71
_space_group_name_Hall '-I 2 2'
loop_
_atom_site_label
_atom_site_fract_x
_atom_site_fract_y
_atom_site_fract_z
Ca1 0.000 0.000 0.000
Sc1 0.000 0.500 0.200
Si1 0.000 0.000 0.500
```

---

# 9
DFT (GGA-PBE) results for a relaxed NaZn2Cd8 crystal.

Output
Total magnetic moment in μB per formula unit: 0.00
DFT formation energy in eV/f.u.: 1.27
Theoretical density in Mg/m³: 6.29
Density of states at the Fermi level in states/eV/f.u.: 3.79

```
data_NaZn2Cd8
_chemical_formula_sum 'Na1 Zn2 Cd8'
_cell_length_a 6.791
_cell_length_b 6.791
_cell_length_c 6.030
_cell_angle_alpha 90.00
_cell_angle_beta 90.00
_cell_angle_gamma 90.00
_space_group_name_H-M_alt 'P 4/m m m'
_space_group_IT_number 123
_space_group_name_Hall '-P 4 2'
loop_
_atom_site_label
_atom_site_fract_x
_atom_site_fract_y
_atom_site_fract_z
Na1 0.000 0.000 0.000
Zn1 0.000 0.500 0.500
Cd1 0.277 0.277 0.245
```

---

# 10
DFT (GGA-PBE) results for a relaxed Cu2Pd2Pt crystal.

Output
Energy above the most stable polymorph in this dataset in eV/atom: 0.000
Total magnetic moment in μB per formula unit: 0.00
DFT formation energy in eV/f.u.: -0.20
Theoretical density in Mg/m³: 12.25
Density of states at the Fermi level in states/eV/f.u.: 5.26

```
data_Cu2Pd2Pt
_chemical_formula_sum 'Cu4 Pd4 Pt2'
_cell_length_a 2.752
_cell_length_b 19.372
_cell_length_c 2.721
_cell_angle_alpha 90.00
_cell_angle_beta 90.00
_cell_angle_gamma 90.00
_space_group_name_H-M_alt 'C m m m'
_space_group_IT_number 65
_space_group_name_Hall '-C 2 2'
loop_
_atom_site_label
_atom_site_fract_x
_atom_site_fract_y
_atom_site_fract_z
Cu1 0.000 0.095 0.000
Pd1 0.000 0.311 0.500
Pt1 0.000 0.500 0.500
```

---

# 11
DFT (GGA-PBE) results for a relaxed Mo2Ru crystal.

Output
Energy above the most stable polymorph in this dataset in eV/atom: 0.542
Total magnetic moment in μB per formula unit: 0.00
DFT formation energy in eV/f.u.: 1.65
Theoretical density in Mg/m³: 9.72
Density of states at the Fermi level in states/eV/f.u.: 3.37

```
data_Mo2Ru
_chemical_formula_sum 'Mo8 Ru4'
_cell_length_a 2.729
_cell_length_b 4.097
_cell_length_c 17.902
_cell_angle_alpha 90.00
_cell_angle_beta 90.00
_cell_angle_gamma 90.00
_space_group_name_H-M_alt 'I m m a'
_space_group_IT_number 74
_space_group_name_Hall '-I 2b 2'
loop_
_atom_site_label
_atom_site_fract_x
_atom_site_fract_y
_atom_site_fract_z
Mo1 0.000 0.250 0.040
Mo2 0.000 0.250 0.183
Ru1 0.000 0.250 0.612
```

---

# 12
DFT (GGA-PBE) results for a relaxed ZrTiGaCu crystal.

Output
Total magnetic moment in μB per formula unit: 0.00
DFT formation energy in eV/f.u.: -1.18
Theoretical density in Mg/m³: 6.73
Density of states at the Fermi level in states/eV/f.u.: 1.83

```
data_ZrTiGaCu
_chemical_formula_sum 'Zr4 Ti4 Ga4 Cu4'
_cell_length_a 6.455
_cell_length_b 6.455
_cell_length_c 6.455
_cell_angle_alpha 90.00
_cell_angle_beta 90.00
_cell_angle_gamma 90.00
_space_group_name_H-M_alt 'F -4 3 m'
_space_group_IT_number 216
_space_group_name_Hall 'F -4 2 3'
loop_
_atom_site_label
_atom_site_fract_x
_atom_site_fract_y
_atom_site_fract_z
Zr1 0.000 0.000 0.000
Ti1 0.000 0.000 0.500
Ga1 0.250 0.250 0.750
Cu1 0.250 0.250 0.250
```

---

# 13
DFT (GGA-PBE) results for a relaxed Pa2Zn16Au crystal.

Output
Total magnetic moment in μB per formula unit: 0.09
DFT formation energy in eV/f.u.: -2.68
Theoretical density in Mg/m³: 9.20
Density of states at the Fermi level in states/eV/f.u.: 12.55

```
data_Pa2Zn16Au
_chemical_formula_sum 'Pa6 Zn48 Au3'
_cell_length_a 8.9880
_cell_length_b 8.9880
_cell_length_c 13.2065
_cell_angle_alpha 90.00
_cell_angle_beta 90.00
_cell_angle_gamma 120.00
_space_group_name_H-M_alt 'R 3 m'
_space_group_IT_number 160
_space_group_name_Hall 'R 3 -2"'
loop_
_atom_site_label
_atom_site_fract_x
_atom_site_fract_y
_atom_site_fract_z
Pa1 0.0000 0.0000 0.0000
Pa2 0.0000 0.0000 0.3204
Zn1 0.0000 0.0000 0.5557
Zn2 0.0003 0.2960 0.6599
Zn3 0.0047 0.5023 0.1594
Zn4 0.0099 0.5050 0.8102
Zn5 0.1720 0.3439 0.8426
Au1 0.0000 0.0000 0.7641
```

---

# 14
DFT (GGA-PBE) results for a relaxed CsTiTeI2 crystal.

Output
Total magnetic moment in μB per formula unit: 1.00
Energy relative to the elements, uncorrected in meV/atom: -852
Theoretical density in Mg/m³: 4.91
Density of states at the Fermi level in states/eV/f.u.: 2.92

```
data_CsTiTeI2
_chemical_formula_sum 'Cs1 Ti1 Te1 I2'
_cell_length_a 5.935
_cell_length_b 5.935
_cell_length_c 5.397
_cell_angle_alpha 90.00
_cell_angle_beta 90.00
_cell_angle_gamma 90.00
_space_group_name_H-M_alt 'P 4/m m m'
_space_group_IT_number 123
_space_group_name_Hall '-P 4 2'
loop_
_atom_site_label
_atom_site_fract_x
_atom_site_fract_y
_atom_site_fract_z
Cs1 0.000 0.000 0.000
Ti1 0.500 0.500 0.500
Te1 0.500 0.500 0.000
I1 0.000 0.500 0.500
```

---

# 15
DFT (GGA-PBE) results for a relaxed GaCo2BiCl crystal.

Output
Total magnetic moment in μB per formula unit: 4.10
Energy relative to the elements, uncorrected in meV/atom: 920
Theoretical density in Mg/m³: 4.94
Density of states at the Fermi level in states/eV/f.u.: 5.23

```
data_GaCo2BiCl
_chemical_formula_sum 'Ga1 Co2 Bi1 Cl1'
_cell_length_a 4.976
_cell_length_b 4.976
_cell_length_c 5.870
_cell_angle_alpha 90.00
_cell_angle_beta 90.00
_cell_angle_gamma 90.00
_space_group_name_H-M_alt 'P 4/m m m'
_space_group_IT_number 123
_space_group_name_Hall '-P 4 2'
loop_
_atom_site_label
_atom_site_fract_x
_atom_site_fract_y
_atom_site_fract_z
Ga1 0.000 0.000 0.000
Co1 0.000 0.500 0.500
Bi1 0.000 0.000 0.500
Cl1 0.500 0.500 0.000
```

---

# 16
DFT (GGA-PBE) results for a relaxed LaMgSnPb2 crystal.

Output
Total magnetic moment in μB per formula unit: 0.00
DFT formation energy in eV/f.u.: 1.12
Theoretical density in Mg/m³: 6.85
Density of states at the Fermi level in states/eV/f.u.: 3.92

```
data_LaMgSnPb2
_chemical_formula_sum 'La1 Mg1 Sn1 Pb2'
_cell_length_a 5.295
_cell_length_b 5.295
_cell_length_c 6.023
_cell_angle_alpha 90.00
_cell_angle_beta 90.00
_cell_angle_gamma 90.00
_space_group_name_H-M_alt 'P 4/m m m'
_space_group_IT_number 123
_space_group_name_Hall '-P 4 2'
loop_
_atom_site_label
_atom_site_fract_x
_atom_site_fract_y
_atom_site_fract_z
La1 0.000 0.000 0.000
Mg1 0.000 0.000 0.500
Sn1 0.500 0.500 0.000
Pb1 0.000 0.500 0.500
```

---

# 17
DFT (GGA-PBE) results for a relaxed CaYCd2Au4 crystal.

Output
Total magnetic moment in μB per formula unit: 0.00
DFT formation energy in eV/f.u.: -4.95
Theoretical density in Mg/m³: 11.01
Density of states at the Fermi level in states/eV/f.u.: 3.23

```
data_CaYCd2Au4
_chemical_formula_sum 'Ca3 Y3 Cd6 Au12'
_cell_length_a 4.9594
_cell_length_b 4.9594
_cell_length_c 24.2468
_cell_angle_alpha 90.00
_cell_angle_beta 90.00
_cell_angle_gamma 120.00
_space_group_name_H-M_alt 'R -3 m'
_space_group_IT_number 166
_space_group_name_Hall '-R 3 2"'
loop_
_atom_site_label
_atom_site_fract_x
_atom_site_fract_y
_atom_site_fract_z
Ca1 0.0000 0.0000 0.0000
Y1 0.0000 0.0000 0.5000
Cd1 0.0000 0.0000 0.2512
Au1 0.0000 0.0000 0.1263
Au2 0.0000 0.0000 0.3764
```

---

# 18
DFT (GGA-PBE) results for a relaxed PmTm2Sc crystal.

Output
Energy above the most stable polymorph in this dataset in eV/atom: 0.026
Total magnetic moment in μB per formula unit: 0.00
DFT formation energy in eV/f.u.: 0.19
Theoretical density in Mg/m³: 7.40
Density of states at the Fermi level in states/eV/f.u.: 6.14

```
data_PmTm2Sc
_chemical_formula_sum 'Pm3 Tm6 Sc3'
_cell_length_a 3.4856
_cell_length_b 3.4856
_cell_length_c 33.7772
_cell_angle_alpha 90.00
_cell_angle_beta 90.00
_cell_angle_gamma 120.00
_space_group_name_H-M_alt 'R -3 m'
_space_group_IT_number 166
_space_group_name_Hall '-R 3 2"'
loop_
_atom_site_label
_atom_site_fract_x
_atom_site_fract_y
_atom_site_fract_z
Pm1 0.0000 0.0000 0.0000
Tm1 0.0000 0.0000 0.2462
Sc1 0.0000 0.0000 0.5000
```